i) ## La6Cd2Rh (GGA-PBE)

Data for crystalline La6Cd2Rh at its relaxed geometry.

a b c (Å): 9.1809 9.1809 3.8290
angles (deg): 90.00 90.00 120.00
With the nearest neighbours (Å) after each atom.
Space group P-62m (No. 189)
Asymmetric unit:
La  0.0000  0.4011  0.0000 [3 per cell]  4 Cd 3.39, 1 Rh 3.68, 4 La 3.74
La  0.0000  0.7600  0.5000 [3 per cell]  2 Rh 2.92
Cd  0.3333  0.6667  0.5000 [2 per cell]  9 La 3.39-3.57
Rh  0.0000  0.0000  0.0000 [1 per cell]  6 La 2.92

Output
**Fermi-level density of states**: 1.152 states/eV per atom

***

ii) ## La6Cd2Rh (GGA-PBE)

Data for crystalline La6Cd2Rh at its relaxed geometry.

a b c (Å): 7.2633 7.4478 13.2637
angles (deg): 90.00 122.84 90.00
With the nearest neighbours (Å) after each atom.
Space group P2_1/c (No. 14)
Asymmetric unit:
La  0.1463  0.2051  0.4622 [4 per cell]  1 Rh 2.79
La  0.2593  0.6821  0.4618 [4 per cell]  1 Rh 2.82
La  0.3444  0.5163  0.7529 [4 per cell]  1 Rh 2.83
Cd  0.2027  0.0788  0.7463 [4 per cell]  7 La 3.29-3.68
Rh  0.5000  0.0000  0.5000 [2 per cell]  6 La 2.79-2.83

Output
**Fermi-level density of states**: 1.242 states/eV per atom

***

Least stable: ii)

***

i) ## La2CdRh3 (GGA-PBE)

Data for crystalline La2CdRh3 at its relaxed geometry.

a b c (Å): 4.7681 5.5050 10.0942
angles (deg): 90.00 90.00 90.00
With the nearest neighbours (Å) after each atom.
Space group Immm (No. 71)
Asymmetric unit:
La  0.0000  0.0000  0.1788 [4 per cell]  6 Rh 2.78-3.01
Cd  0.0000  0.0000  0.5000 [2 per cell]  6 Rh 2.75-2.77
Rh  0.0000  0.5000  0.1391 [4 per cell]  2 Cd 2.77, 4 La 2.78-3.01, 1 Rh 2.81
Rh  0.0000  0.5000  0.5000 [2 per cell]  2 Cd 2.75, 4 La 2.99

Output
**Fermi-level density of states**: 0.525 states/eV per atom

***

ii) ## La2CdRh3 (GGA-PBE)

Data for crystalline La2CdRh3 at its relaxed geometry.

a b c (Å): 7.4338 4.2344 16.5096
angles (deg): 90.00 90.00 90.00
With the nearest neighbours (Å) after each atom.
Space group Pnma (No. 62)
Asymmetric unit:
La  0.0509  0.2500  0.2207 [4 per cell]  5 Rh 2.85-3.03
La  0.1495  0.2500  0.4348 [4 per cell]  7 Rh 2.95-3.24
Cd  0.0017  0.7500  0.0641 [4 per cell]  4 Rh 2.83-2.96, 2 Cd 2.99
Rh  0.0988  0.2500  0.6407 [4 per cell]  4 Rh 2.63-2.88
Rh  0.2391  0.2500  0.7951 [4 per cell]  2 Rh 2.75-2.88, 4 La 2.90-3.03, 1 Cd 2.93
Rh  0.2467  0.7500  0.5738 [4 per cell]  2 Rh 2.63, 2 Cd 2.83, 1 La 2.85

Output
**Fermi-level density of states**: 0.682 states/eV per atom

***

Least stable: i)

***

i) ## La2CdSnRh (GGA-PBE)

Data for crystalline La2CdSnRh at its relaxed geometry.

a b c (Å): 5.4220 5.4220 5.1871
angles (deg): 90.00 90.00 90.00
With the nearest neighbours (Å) after each atom.
Space group P4/mmm (No. 123)
Asymmetric unit:
La  0.0000  0.5000  0.0000 [2 per cell]  2 Rh 2.71
Cd  0.0000  0.0000  0.5000 [1 per cell]  2 Rh 2.59
Sn  0.5000  0.5000  0.5000 [1 per cell]  8 La 3.75, 4 Cd 3.83
Rh  0.0000  0.0000  0.0000 [1 per cell]  2 Cd 2.59, 4 La 2.71

Output
**Fermi-level density of states**: 0.615 states/eV per atom

***

ii) ## La2CdSnRh (GGA-PBE)

Data for crystalline La2CdSnRh at its relaxed geometry.

a b c (Å): 5.5088 5.5088 5.1078
angles (deg): 90.00 90.00 90.00
With the nearest neighbours (Å) after each atom.
Space group P4/mmm (No. 123)
Asymmetric unit:
La  0.0000  0.5000  0.0000 [2 per cell]  2 Rh 2.75
Cd  0.0000  0.0000  0.5000 [1 per cell]  8 La 3.76, 4 Sn 3.90
Sn  0.5000  0.5000  0.5000 [1 per cell]  2 Rh 2.55
Rh  0.5000  0.5000  0.0000 [1 per cell]  2 Sn 2.55, 4 La 2.75

Output
**Fermi-level density of states**: 0.867 states/eV per atom

***

Least stable: ii)